10
Lattice="2.977 0.000 0.000 0.000 9.548 0.000 0.000 0.000 7.936" Properties=species:S:1:pos:R:3 comment="TbGa3Ge PBE relaxed" space_group=Pmma e_form_ev_per_atom=-0.1045 pbc="T T T"
Ga 1.489 9.507 5.239
Tb 0.000 7.161 1.351
Ge 1.489 2.387 1.510
Ge 1.489 7.161 6.426
Ga 1.489 4.814 5.239
Ga 1.489 0.040 2.697
Tb 0.000 2.387 6.585
Ga 1.489 0.000 0.000
Ga 1.489 4.774 0.000
Ga 1.489 4.734 2.697

4
Lattice="-2.371 1.472 2.160 -3.446 -0.551 -0.524 -1.491 -8.951 7.343" Properties=species:S:1:pos:R:3 comment="YHo2Tm PBE relaxed" space_group=R-3m e_form_ev_per_atom=0.0258 polymorph_energy_mev_per_atom=13 pbc="T T T"
Ho -5.480 -6.048 6.753
Ho -1.828 -1.983 2.227
Tm 0.000 0.000 0.000
Y -3.654 -4.015 4.490

10
Lattice="-0.829 4.119 5.158 -6.601 -0.543 -0.627 0.013 -1.998 1.597" Properties=species:S:1:pos:R:3 comment="CdB2N2 PBE relaxed" space_group=P4/mbm formation_energy_uncorrected_ev_per_fu=8.18 polymorph_energy_mev_per_atom=471 pbc="T T T"
N -0.934 0.636 2.851
N -3.446 2.523 5.231
B -2.746 0.176 0.242
B -4.684 3.400 4.289
Cd 0.000 0.000 0.000
B -1.128 2.403 3.014
B -6.302 1.173 1.517
N -6.483 0.942 3.278
Cd -3.715 1.788 2.266
N -3.971 -0.945 0.899

18
Lattice="-4.142 -2.562 -3.451 2.693 -9.868 -4.506 -4.923 -9.156 4.106" Properties=species:S:1:pos:R:3 comment="Sm2Dy3Tm4 PBE relaxed" space_group=C2/c e_form_ev_per_atom=0.1012 pbc="T T T"
Tm -4.153 -14.909 -0.757
Dy -5.373 -11.326 -1.486
Sm -2.834 -13.053 -3.178
Dy -0.277 -3.893 -2.263
Sm -2.493 -11.611 0.504
Tm -0.009 -12.042 -5.058
Dy -4.661 -4.958 -1.372
Tm -1.812 -5.241 0.515
Tm -8.057 -12.765 -0.025
Dy -1.710 -16.629 -2.478
Tm -6.362 -9.544 1.208
Tm -2.218 -6.678 -3.093
Sm -3.537 -8.533 -0.673
Tm 1.686 -8.822 -3.825
Dy -6.094 -17.693 -1.588
Sm -3.878 -9.975 -4.355
Tm -4.559 -16.345 -4.365
Dy -0.999 -10.260 -2.365

4
Lattice="4.123 0.000 0.000 0.000 5.615 -0.018 0.000 3.232 4.592" Properties=species:S:1:pos:R:3 comment="TcSbTe2 PBE relaxed" space_group=Cmmm formation_energy_uncorrected_ev_per_fu=0.24 pbc="T T T"
Sb 2.062 2.212 1.143
Tc 2.062 6.635 3.430
Te 0.000 5.074 2.623
Te 0.000 8.197 4.238

26
Lattice="4.276 0.000 0.000 0.000 12.644 0.000 0.000 0.000 27.677" Properties=species:S:1:pos:R:3 comment="Ba6Na2Sr5 PBE relaxed" space_group=Pbam e_form_ev_per_atom=0.0538 pbc="T T T"
Ba 2.138 2.087 17.640
Sr 2.138 6.322 0.000
Sr 2.138 5.242 20.741
Na 0.000 4.246 7.290
Sr 2.138 4.185 13.781
Ba 0.000 6.167 17.050
Na 0.000 10.567 6.548
Ba 2.138 4.235 3.802
Na 0.000 2.076 21.129
Sr 2.138 11.564 20.775
Sr 2.138 1.080 6.902
Na 0.000 8.398 20.387
Ba 0.000 12.489 24.466
Ba 0.000 8.302 3.248
Sr 2.138 10.507 0.058
Sr 2.138 7.402 6.936
Sr 2.138 8.459 13.897
Ba 0.000 1.980 10.591
Ba 2.138 8.409 23.876
Ba 0.000 10.664 17.086
Ba 0.000 0.155 3.212
Sr 2.138 2.137 27.619
Sr 2.138 0.000 13.839
Ba 0.000 6.477 10.627
Ba 0.000 4.342 24.430
Ba 2.138 10.557 10.037

4
Lattice="-2.688 -4.290 -0.166 2.374 -4.473 -0.098 -0.164 -3.044 4.046" Properties=species:S:1:pos:R:3 comment="LiTbPuGe PBE relaxed" space_group=F-43m e_form_ev_per_atom=-0.2283 pbc="T T T"
Ge -0.119 -2.952 0.945
Tb 0.000 0.000 0.000
Pu -0.239 -5.904 1.891
Li -0.358 -8.855 2.836

4
Lattice="-2.462 1.786 2.409 -3.821 -0.571 -0.357 -1.553 -6.983 6.716" Properties=species:S:1:pos:R:3 comment="NdGd2Pt PBE relaxed" space_group=R-3m e_form_ev_per_atom=-0.5018 polymorph_energy_mev_per_atom=69 pbc="T T T"
Pt 0.000 0.000 0.000
Gd -5.841 -4.821 6.980
Gd -1.995 -0.947 1.788
Nd -3.918 -2.884 4.384

4
Lattice="-0.618 -0.702 -3.976 3.262 0.111 -0.526 1.948 -4.790 0.543" Properties=species:S:1:pos:R:3 comment="Zn2SiAu PBE relaxed" space_group=Pm formation_energy_uncorrected_ev_per_fu=0.23 pbc="T T T"
Si 2.999 -4.062 -1.847
Zn 4.984 -4.418 0.005
Zn 1.217 -1.721 -1.983
Au 3.207 -2.198 -0.110

15
Lattice="7.106 0.000 0.000 -3.553 6.154 0.000 0.000 0.000 8.792" Properties=species:S:1:pos:R:3 comment="K3Cu2SnCl9 PBE relaxed" space_group=P-3m1 formation_energy_uncorrected_ev_per_fu=-18.01 pbc="T T T"
Cl 5.284 1.052 5.906
K 3.553 2.051 2.618
Cl 1.776 3.077 0.000
K 0.000 0.000 0.000
Cl -1.776 3.077 0.000
Cu 0.000 4.103 1.300
K 0.000 4.103 6.175
Cu 3.553 2.051 7.492
Cl 3.553 0.000 0.000
Cl 1.731 5.102 2.886
Cl 3.553 4.050 5.906
Sn 0.000 0.000 4.396
Cl 1.822 1.052 5.906
Cl -1.731 5.102 2.886
Cl 0.000 2.104 2.886

4
Lattice="-6.863 3.166 -7.765 -8.197 -0.220 -7.083 -9.251 2.642 -4.985" Properties=species:S:1:pos:R:3 comment="La2YZn PBE relaxed" space_group=R3m e_form_ev_per_atom=-0.0580 polymorph_energy_mev_per_atom=103 pbc="T T T"
La -6.032 1.386 -4.921
Y -11.837 2.721 -9.657
Zn -18.311 4.209 -14.939
La -0.286 0.066 -0.234

6
Lattice="5.388 0.000 0.000 2.694 4.666 0.000 2.694 1.555 4.399" Properties=species:S:1:pos:R:3 comment="TmTlPd4 PBE relaxed" space_group=F-43m e_form_ev_per_atom=-0.5680 polymorph_energy_mev_per_atom=0 pbc="T T T"
Pd 5.388 1.557 2.749
Tl 2.694 1.555 1.100
Pd 4.042 3.888 2.749
Tm 0.000 0.000 0.000
Pd 5.388 3.111 0.551
Pd 6.734 3.888 2.749

8
Lattice="4.110 0.000 0.000 2.055 3.559 0.000 2.055 1.186 10.583" Properties=species:S:1:pos:R:3 comment="CeCdPN PBE relaxed" space_group=R-3m formation_energy_uncorrected_ev_per_fu=-3.54 pbc="T T T"
Cd 6.164 3.559 6.288
N 6.164 3.559 9.747
Cd 2.055 1.186 4.295
P 2.055 1.186 7.217
Ce 4.110 2.373 9.218
N 2.055 1.186 0.837
P 6.164 3.559 3.366
Ce 4.110 2.373 1.366

4
Lattice="3.461 0.000 0.000 1.731 2.998 0.000 1.731 0.999 11.187" Properties=species:S:1:pos:R:3 comment="Ho2TmSc PBE relaxed" space_group=R-3m e_form_ev_per_atom=0.0447 polymorph_energy_mev_per_atom=15 pbc="T T T"
Ho 1.731 0.999 2.713
Tm 3.461 1.998 5.594
Ho 5.192 2.998 8.474
Sc 0.000 0.000 0.000

10
Lattice="6.794 0.000 0.001 3.397 5.883 0.001 3.398 1.961 6.044" Properties=species:S:1:pos:R:3 comment="DyInS3 PBE relaxed" space_group=R-3 formation_energy_uncorrected_ev_per_fu=-6.32 polymorph_energy_mev_per_atom=17 pbc="T T T"
Dy 6.794 3.922 0.334
Dy 6.795 3.922 5.712
In 3.398 1.961 3.336
In 10.191 5.883 2.710
S 7.869 6.089 1.543
S 4.379 3.770 1.542
S 5.720 1.755 4.503
S 9.210 4.075 4.503
S 5.455 5.937 4.503
S 8.134 1.907 1.543

4
Lattice="-1.762 -0.475 2.276 1.446 -5.342 0.004 3.065 0.831 2.547" Properties=species:S:1:pos:R:3 comment="Fe2PtCl PBE relaxed" space_group=Pmmm formation_energy_uncorrected_ev_per_fu=2.08 polymorph_energy_mev_per_atom=578 pbc="T T T"
Pt 0.651 0.178 2.411
Fe -0.158 -2.909 1.140
Fe 0.000 0.000 0.000
Cl 2.255 -2.255 1.276

3
Lattice="6.442 0.000 0.000 3.221 5.579 0.000 3.221 1.860 5.260" Properties=species:S:1:pos:R:3 comment="CsKI PBE relaxed" space_group=F-43m formation_energy_uncorrected_ev_per_fu=-2.49 polymorph_energy_mev_per_atom=163 pbc="T T T"
I 3.221 1.860 1.315
Cs 0.000 0.000 0.000
K 6.442 3.719 2.630

3
Lattice="4.125 0.000 0.000 0.000 4.508 0.000 0.000 -2.254 3.904" Properties=species:S:1:pos:R:3 comment="DyYNi PBE relaxed" space_group=P3m1 e_form_ev_per_atom=-0.0603 polymorph_energy_mev_per_atom=239 pbc="T T T"
Ni 1.341 0.000 2.603
Y 2.448 2.254 1.301
Dy 0.336 0.000 0.000

5
Lattice="7.383 0.000 0.000 0.000 7.383 0.000 0.000 0.000 5.694" Properties=species:S:1:pos:R:3 comment="Cs2HgTeBr PBE relaxed" space_group=P4/mmm formation_energy_uncorrected_ev_per_fu=-4.60 pbc="T T T"
Te 0.000 0.000 0.000
Cs 0.000 3.692 0.000
Hg 0.000 0.000 2.847
Cs 3.692 0.000 0.000
Br 3.692 3.692 2.847

9
Lattice="-1.520 -2.753 -5.351 5.724 -2.443 -0.369 -4.546 -3.133 2.902" Properties=species:S:1:pos:R:3 comment="Sr2LiAg6 PBE relaxed" space_group=P-3m1 e_form_ev_per_atom=-0.1758 pbc="T T T"
Sr -1.366 -3.344 0.956
Ag -1.615 -3.384 -2.642
Ag -3.763 -4.863 -1.271
Sr 1.024 -4.986 -3.775
Ag 1.273 -4.945 -0.177
Ag 0.715 -2.312 -1.373
Ag -1.057 -6.018 -1.446
Ag 3.421 -3.467 -1.547
Li 0.000 0.000 0.000